# 1
Density functional theory data (GGA-PBE) for a relaxed structure of Tl12SbAs5.

Properties
- N(E_F): 0.42 states/eV/atom
- Crystal system: orthorhombic
- Formation energy (no corrections): 1.03 eV/f.u.
- Space-group type: Immm

a = 8.881 Å, b = 8.881 Å, c = 8.881 Å
α = 108.49°, β = 109.82°, γ = 110.10°
Fractional positions:
Tl1 0.459 0.189 0.270
Tl2 0.541 0.811 0.730
Tl3 0.723 0.318 0.041
Tl4 0.802 0.562 0.760
Tl5 0.277 0.318 0.595
Tl6 0.198 0.438 0.240
Tl7 0.919 0.189 0.730
Tl8 0.802 0.041 0.240
Tl9 0.723 0.682 0.405
Tl10 0.198 0.959 0.760
Tl11 0.081 0.811 0.270
Tl12 0.277 0.682 0.959
As1 0.500 0.116 0.616
As2 0.621 0.621 0.000
As3 0.000 0.000 0.000
As4 0.500 0.884 0.384
As5 0.379 0.379 0.000
Sb1 0.000 0.500 0.500


# 2
Density functional theory data (GGA-PBE) for a relaxed structure of K3SiO.

Properties
- Distance to the lowest polymorph of the same formula: 0 meV per atom
- N(E_F): 0.11 states/eV/atom
- Crystal system: cubic
- Formation energy (no corrections): -1.16 eV/f.u.
- Space-group type: Pm-3m

a = 5.385 Å, b = 5.385 Å, c = 5.385 Å
α = 90.00°, β = 90.00°, γ = 90.00°
Each line ends with the local moment (μB).
Fractional positions:
K1 0.500 0.000 0.000  0.02
K2 0.000 0.000 0.500  0.02
K3 0.000 0.500 0.000  0.02
Si1 0.500 0.500 0.500  0.65
O1 0.000 0.000 0.000  0.23


# 3
Density functional theory data (GGA-PBE) for a relaxed structure of HoZn9Cd2.

Properties
- N(E_F): 0.32 states/eV/atom
- Crystal system: trigonal
- Energy of formation: -0.113 eV/atom
- Space-group type: R-3m

a = 5.310 Å, b = 5.310 Å, c = 8.934 Å
α = 72.71°, β = 72.71°, γ = 60.00°
Fractional positions:
Zn1 0.500 0.500 0.500
Zn2 0.081 0.586 0.748
Zn3 0.919 0.414 0.252
Zn4 0.586 0.081 0.748
Zn5 0.414 0.919 0.252
Zn6 0.667 0.667 0.998
Zn7 0.586 0.586 0.748
Zn8 0.333 0.333 0.002
Zn9 0.414 0.414 0.252
Ho1 0.000 0.000 0.000
Cd1 0.862 0.862 0.413
Cd2 0.138 0.138 0.587


> Which value of N(E_F) does entry 2 give?

0.11 states/eV/atom


> N(E_F) of number 2 (K3SiO)?

0.11 states/eV/atom


> What is the formula in the third record?

HoZn9Cd2